Cr2CoAsO6 | PBE+U | optimized geometry

POSCAR file:
```
Cr2CoAsO6
1.0
2.5411 1.4671 4.6693
-2.5411 1.4671 4.6693
0.0000 -2.9342 4.6693
Cr Co As O
2 1 1 6
Cartesian
0.0000 0.0000 0.0000
0.0000 0.0000 6.8304
0.0000 0.0000 9.5913
0.0000 0.0000 2.8492
-1.7527 0.0437 5.8766
-0.7871 -1.2739 8.3249
0.8385 -1.5397 5.8766
-0.7097 1.3186 8.3249
0.9142 1.4960 5.8766
1.4968 -0.0447 8.3249
```

## Properties
Its density is 5308 kg/m³. Its total energy is -68.214 eV per cell. As for the crystal system: trigonal. The space group is R3 (146).